Material: Pr3Nd4ErS8
Method: DFT, PBE
State: optimized geometry

## Properties
Energy relative to the elements, uncorrected in eV per atom: -2.01
V in Å³/cell: 378.9
E in eV/atom: -6.4424

Lattice parameters (Å, degrees): 8.128 8.117 8.128 120.05 120.00 90.00
Sites, in units of the cell vectors:
Pr 0.500 0.500 0.000
Pr 0.500 0.500 0.500
Pr 0.000 0.500 0.500
Nd 0.500 0.000 0.000
Nd 0.500 0.000 0.500
Nd 0.000 0.000 0.000
Nd 0.000 0.000 0.500
Er 0.000 0.500 0.000
S 0.242 0.744 0.002
S 0.242 0.744 0.484
S 0.249 0.247 0.498
S 0.760 0.744 0.002
S 0.240 0.256 0.998
S 0.751 0.753 0.502
S 0.758 0.256 0.516
S 0.758 0.256 0.998

***

Material: Nd2Ga4Pd5
Method: DFT, PBE
State: optimized geometry

## Properties
Energy of formation from the pure elements in eV/atom: -0.740
V in Å³/cell: 213.0
E in eV/atom: -5.0681

Lattice parameters (Å, degrees): 5.681 5.572 8.321 79.98 70.04 59.35
Sites, in units of the cell vectors:
Nd 0.868 0.000 0.264
Nd 0.132 0.000 0.736
Ga 0.473 0.313 0.741
Ga 0.527 0.687 0.259
Ga 0.214 0.313 0.259
Ga 0.786 0.687 0.741
Pd 0.500 0.000 0.000
Pd 0.000 0.500 0.000
Pd 0.500 0.500 0.000
Pd 0.250 0.500 0.500
Pd 0.750 0.500 0.500

***

Material: TlVAs2
Method: DFT, PBE
State: optimized geometry

## Properties
Energy above the most stable polymorph in this dataset in meV per atom: 504
Energy of formation from the pure elements in eV/atom: 0.416
V in Å³/cell: 81.0
E in eV/atom: -4.7801

Lattice parameters (Å, degrees): 4.856 4.856 4.856 60.00 60.00 60.00
Last column: magnetic moment on the atom in μB.
Sites, in units of the cell vectors:
Tl 0.500 0.500 0.500  -0.01
As 0.250 0.250 0.250  -0.05
As 0.750 0.750 0.750  -0.05
V 0.000 0.000 0.000  2.30

***

Material: KBa4Sr5
Method: DFT, PBE
State: optimized geometry

## Properties
Energy of formation from the pure elements in eV/atom: 0.033
V in Å³/cell: 596.5
E in eV/atom: -1.6868

Lattice parameters (Å, degrees): 4.915 4.915 24.695 90.00 90.00 90.00
Sites, in units of the cell vectors:
K 0.000 0.000 0.000
Ba 0.000 0.000 0.206
Ba 0.000 0.000 0.401
Ba 0.000 0.000 0.599
Ba 0.000 0.000 0.794
Sr 0.500 0.500 0.105
Sr 0.500 0.500 0.302
Sr 0.500 0.500 0.500
Sr 0.500 0.500 0.698
Sr 0.500 0.500 0.895

***

Material: CsMgCd3
Method: DFT, PBE
State: optimized geometry

## Properties
Energy above the most stable polymorph in this dataset in meV per atom: 0
Energy of formation from the pure elements in eV/atom: 0.084
V in Å³/cell: 185.9
E in eV/atom: -0.9545

Lattice parameters (Å, degrees): 5.708 5.708 5.708 90.00 90.00 90.00
Sites, in units of the cell vectors:
Cs 0.500 0.500 0.500
Mg 0.000 0.000 0.000
Cd 0.000 0.500 0.000
Cd 0.000 0.000 0.500
Cd 0.500 0.000 0.000

***

Material: Pr4HgBi3
Method: DFT, PBE
State: optimized geometry

## Properties
Energy of formation from the pure elements in eV/atom: -0.746
V in Å³/cell: 278.2
E in eV/atom: -4.6289

Lattice parameters (Å, degrees): 6.528 6.528 6.528 90.00 90.00 90.00
Sites, in units of the cell vectors:
Pr 0.500 0.000 0.000
Pr 0.000 0.500 0.000
Pr 0.000 0.000 0.500
Pr 0.500 0.500 0.500
Hg 0.000 0.000 0.000
Bi 0.000 0.500 0.500
Bi 0.500 0.000 0.500
Bi 0.500 0.500 0.000

***

Material: MnAlPt2
Method: DFT, PBE
State: optimized geometry

## Properties
Energy of formation from the pure elements in eV/atom: -0.647
V in Å³/cell: 59.6
E in eV/atom: -6.8957

Lattice parameters (Å, degrees): 4.925 4.925 4.483 75.00 75.00 34.72
Last column: magnetic moment on the atom in μB.
Sites, in units of the cell vectors:
Mn 0.246 0.246 0.197  3.66
Al 0.500 0.500 0.556  -0.02
Pt 0.991 0.991 0.060  0.15
Pt 0.763 0.763 0.686  0.17

***

Material: Tl3Co
Method: DFT, PBE
State: optimized geometry

## Properties
Energy of formation from the pure elements in eV/atom: 0.359
V in Å³/cell: 105.7
E in eV/atom: -3.1920

Lattice parameters (Å, degrees): 3.390 6.622 6.624 45.31 90.00 90.00
Last column: magnetic moment on the atom in μB.
Sites, in units of the cell vectors:
Co 0.000 0.000 0.000  0.42
Tl 0.500 0.832 0.831  -0.01
Tl 0.000 0.500 0.500  -0.02
Tl 0.500 0.168 0.169  -0.01